Record 1
Density functional theory data (PBE-GGA) for a relaxed structure of Ce3Pm2SmSe6.

a = 7.2557 Å, b = 7.2557 Å, c = 7.2941 Å
α = 99.55°, β = 99.55°, γ = 120.04°
Closest atoms and distances in Å follow each position.
Element x y z (fractional)
Sm: 0.0000 0.0000 0.0000  6 Se 2.95
Ce: 0.8327 0.1673 0.5000  6 Se 2.97-2.98
Ce: 0.5000 0.5000 0.5000  6 Se 2.97-2.98
Pm: 0.3335 0.6666 0.0000  6 Se 2.96-2.97
Se: 0.5852 0.9174 0.7519  1 Sm 2.95, 2 Pm 2.96, 3 Ce 2.97-2.98
Se: 0.2491 0.2491 0.7512  1 Sm 2.95, 2 Pm 2.97, 3 Ce 2.97-2.98
Se: 0.7509 0.7509 0.2488  1 Sm 2.95, 2 Pm 2.97, 3 Ce 2.97-2.98
Pm: 0.6666 0.3335 0.0000  6 Se 2.96-2.97
Se: 0.4148 0.0826 0.2481  1 Sm 2.95, 2 Pm 2.96, 3 Ce 2.97-2.98
Se: 0.0826 0.4148 0.2481  1 Sm 2.95, 2 Pm 2.96, 3 Ce 2.97-2.98
Se: 0.9174 0.5852 0.7519  1 Sm 2.95, 2 Pm 2.96, 3 Ce 2.97-2.98
Ce: 0.1673 0.8327 0.5000  6 Se 2.97-2.98



Record 2
Density functional theory data (PBE-GGA) for a relaxed structure of CePm4Sm3Se8.

a = 8.3772 Å, b = 8.3748 Å, c = 8.3765 Å
α = 120.00°, β = 120.00°, γ = 90.00°
Closest atoms and distances in Å follow each position.
Element x y z (fractional)
Se: 0.2496 0.7481 0.9986  2 Sm 2.95, 1 Ce 2.96, 3 Pm 2.97
Sm: 0.5000 0.5000 0.0000  6 Se 2.95
Se: 0.7493 0.7478 0.4985  3 Sm 2.95, 3 Pm 2.97
Sm: 0.5000 0.5000 0.5000  6 Se 2.95
Pm: 0.5000 0.0000 0.0000  6 Se 2.97
Se: 0.2496 0.7481 0.4992  2 Sm 2.95, 1 Ce 2.96, 3 Pm 2.97
Pm: 0.5000 0.0000 0.5000  6 Se 2.97
Pm: 0.0000 0.0000 0.0000  6 Se 2.97
Se: 0.7504 0.2519 0.0014  2 Sm 2.95, 1 Ce 2.96, 3 Pm 2.97
Pm: 0.0000 0.0000 0.5000  6 Se 2.97
Se: 0.2507 0.2522 0.5015  3 Sm 2.95, 3 Pm 2.97
Sm: 0.0000 0.5000 0.5000  6 Se 2.95
Se: 0.7504 0.2519 0.5008  2 Sm 2.95, 1 Ce 2.96, 3 Pm 2.97
Ce: 0.0000 0.5000 0.0000  6 Se 2.96
Se: 0.2510 0.2519 0.0014  2 Sm 2.95, 1 Ce 2.96, 3 Pm 2.97
Se: 0.7490 0.7481 0.9986  2 Sm 2.95, 1 Ce 2.96, 3 Pm 2.97



Record 3
Density functional theory data (PBE-GGA) for a relaxed structure of Ce2PmSmSe4.

a = 4.1741 Å, b = 7.2998 Å, c = 7.2564 Å
α = 70.78°, β = 90.00°, γ = 90.00°
Closest atoms and distances in Å follow each position.
Element x y z (fractional)
Se: 0.0000 0.2517 0.2504  1 Sm 2.95, 2 Pm 2.96, 3 Ce 2.97-2.98
Se: 0.5000 0.2524 0.7482  2 Sm 2.95, 1 Pm 2.96, 3 Ce 2.97-2.98
Ce: 0.0000 0.0000 0.0000  6 Se 2.98
Ce: 0.5000 0.0000 0.5000  6 Se 2.97
Se: 0.5000 0.7476 0.2518  2 Sm 2.95, 1 Pm 2.96, 3 Ce 2.97-2.98
Sm: 0.0000 0.5000 0.5000  6 Se 2.95
Pm: 0.5000 0.5000 0.0000  6 Se 2.96
Se: 0.0000 0.7483 0.7496  1 Sm 2.95, 2 Pm 2.96, 3 Ce 2.97-2.98



Record 4
Density functional theory data (PBE-GGA) for a relaxed structure of SrCe2PmSe4.

a = 4.2334 Å, b = 7.4172 Å, c = 7.3716 Å
α = 70.86°, β = 90.00°, γ = 90.00°
Closest atoms and distances in Å follow each position.
Element x y z (fractional)
Ce: 0.0000 0.0000 0.0000  6 Se 3.02
Se: 0.5000 0.7509 0.2535  3 Ce 2.99-3.02, 2 Pm 3.00, 1 Sr 3.04
Ce: 0.5000 0.0000 0.5000  6 Se 2.98-2.99
Se: 0.0000 0.7542 0.7441  3 Ce 2.98-3.02, 1 Pm 3.00, 2 Sr 3.04
Pm: 0.0000 0.5000 0.5000  6 Se 3.00
Sr: 0.5000 0.5000 0.0000  6 Se 3.04
Se: 0.5000 0.2491 0.7465  3 Ce 2.99-3.02, 2 Pm 3.00, 1 Sr 3.04
Se: 0.0000 0.2458 0.2559  3 Ce 2.98-3.02, 1 Pm 3.00, 2 Sr 3.04



Record 5
Density functional theory data (PBE-GGA) for a relaxed structure of Sr2CePmSe4.

a = 4.2843 Å, b = 7.4166 Å, c = 7.5899 Å
α = 109.02°, β = 90.00°, γ = 90.00°
Closest atoms and distances in Å follow each position.
Element x y z (fractional)
Pm: 0.0000 0.0000 0.0000  6 Se 3.01
Se: 0.0000 0.7482 0.2408  1 Pm 3.01, 2 Ce 3.02, 3 Sr 3.09-3.10
Se: 0.0000 0.2518 0.7592  1 Pm 3.01, 2 Ce 3.02, 3 Sr 3.09-3.10
Ce: 0.5000 0.5000 0.0000  6 Se 3.02
Sr: 0.5000 0.0000 0.5000  6 Se 3.09
Sr: 0.0000 0.5000 0.5000  6 Se 3.10
Se: 0.5000 0.7544 0.7605  2 Pm 3.01, 1 Ce 3.02, 3 Sr 3.09-3.10
Se: 0.5000 0.2456 0.2395  2 Pm 3.01, 1 Ce 3.02, 3 Sr 3.09-3.10



Record 6
Density functional theory data (PBE-GGA) for a relaxed structure of Tb2CePmSe4.

a = 4.1115 Å, b = 7.2441 Å, c = 7.1629 Å
α = 70.99°, β = 90.00°, γ = 90.00°
Closest atoms and distances in Å follow each position.
Element x y z (fractional)
Tb: 0.0000 0.0000 0.0000  6 Se 2.90
Se: 0.0000 0.7596 0.7466  3 Tb 2.89-2.90, 1 Pm 2.97, 2 Ce 2.97
Tb: 0.5000 0.0000 0.5000  6 Se 2.89-2.90
Se: 0.5000 0.7593 0.2468  3 Tb 2.90, 1 Ce 2.97, 2 Pm 2.97
Se: 0.5000 0.2407 0.7532  3 Tb 2.90, 1 Ce 2.97, 2 Pm 2.97
Ce: 0.5000 0.5000 0.0000  6 Se 2.97
Se: 0.0000 0.2404 0.2534  3 Tb 2.89-2.90, 1 Pm 2.97, 2 Ce 2.97
Pm: 0.0000 0.5000 0.5000  6 Se 2.97



Record 7
Density functional theory data (PBE-GGA) for a relaxed structure of TbCe3Pm4Se8.

a = 8.3742 Å, b = 8.3697 Å, c = 8.3731 Å
α = 120.01°, β = 120.00°, γ = 90.00°
Closest atoms and distances in Å follow each position.
Element x y z (fractional)
Se: 0.2469 0.7470 0.0001  1 Tb 2.92, 3 Pm 2.96-3.00, 2 Ce 2.96
Ce: 0.5000 0.5000 0.0000  6 Se 2.96
Se: 0.7531 0.2530 0.9999  1 Tb 2.92, 3 Pm 2.96-3.00, 2 Ce 2.96
Se: 0.2468 0.2530 0.9999  1 Tb 2.92, 3 Pm 2.96-3.00, 2 Ce 2.96
Pm: 0.5000 0.0000 0.0000  6 Se 3.00
Pm: 0.5000 0.0000 0.5000  6 Se 2.96
Se: 0.7530 0.2529 0.5061  1 Tb 2.92, 3 Pm 2.96-3.00, 2 Ce 2.96
Se: 0.2498 0.2493 0.4996  3 Pm 2.96, 3 Ce 2.96
Ce: 0.5000 0.5000 0.5000  6 Se 2.96
Pm: 0.0000 0.0000 0.0000  6 Se 2.96
Se: 0.2470 0.7471 0.4939  1 Tb 2.92, 3 Pm 2.96-3.00, 2 Ce 2.96
Pm: 0.0000 0.0000 0.5000  6 Se 2.96
Ce: 0.0000 0.5000 0.5000  6 Se 2.96
Tb: 0.0000 0.5000 0.0000  6 Se 2.92
Se: 0.7532 0.7470 0.0001  1 Tb 2.92, 3 Pm 2.96-3.00, 2 Ce 2.96
Se: 0.7502 0.7507 0.5004  3 Pm 2.96, 3 Ce 2.96



Record 8
Density functional theory data (PBE-GGA) for a relaxed structure of Tb2Ce3PmSe6.

a = 7.1917 Å, b = 7.1917 Å, c = 7.2635 Å
α = 99.50°, β = 99.50°, γ = 120.04°
Closest atoms and distances in Å follow each position.
Element x y z (fractional)
Tb: 0.6670 0.3330 0.0000  6 Se 2.90-2.91
Se: 0.4200 0.0813 0.2438  2 Tb 2.90-2.91, 1 Pm 2.95, 3 Ce 2.96-2.99
Se: 0.5800 0.9187 0.7562  2 Tb 2.90-2.91, 1 Pm 2.95, 3 Ce 2.96-2.99
Se: 0.2585 0.2585 0.7589  2 Tb 2.90, 1 Pm 2.94, 3 Ce 2.95-2.98
Se: 0.9187 0.5800 0.7562  2 Tb 2.90-2.91, 1 Pm 2.95, 3 Ce 2.96-2.99
Ce: 0.1641 0.8359 0.5000  6 Se 2.96-2.99
Se: 0.7415 0.7415 0.2411  2 Tb 2.90, 1 Pm 2.94, 3 Ce 2.95-2.98
Ce: 0.8359 0.1641 0.5000  6 Se 2.96-2.99
Tb: 0.3330 0.6670 0.0000  6 Se 2.90-2.91
Pm: 0.0000 0.0000 0.0000  6 Se 2.94-2.95
Se: 0.0813 0.4200 0.2438  2 Tb 2.90-2.91, 1 Pm 2.95, 3 Ce 2.96-2.99
Ce: 0.5000 0.5000 0.5000  6 Se 2.95-2.99



Record 9
Density functional theory data (PBE-GGA) for a relaxed structure of TbCePm2Se5.

a = 5.1820 Å, b = 5.1820 Å, c = 11.0684 Å
α = 90.00°, β = 90.00°, γ = 90.00°
Closest atoms and distances in Å follow each position.
Element x y z (fractional)
Se: 0.0000 0.0000 0.2512  1 Tb 2.75, 1 Ce 2.78
Pm: 0.5000 0.5000 0.6621  4 Se 3.15
Ce: 0.0000 0.0000 0.0000  2 Se 2.78
Se: 0.5000 0.0000 0.5000  2 Tb 2.59
Se: 0.0000 0.0000 0.7488  1 Tb 2.75, 1 Ce 2.78
Tb: 0.0000 0.0000 0.5000  6 Se 2.59-2.75
Se: 0.0000 0.5000 0.5000  2 Tb 2.59
Pm: 0.5000 0.5000 0.3379  4 Se 3.15
Se: 0.5000 0.5000 0.0000  4 Ce 3.66, 2 Pm 3.74



Record 10
Density functional theory data (PBE-GGA) for a relaxed structure of TbCe2Pm3Se6.

a = 7.2368 Å, b = 7.2368 Å, c = 7.2558 Å
α = 99.58°, β = 99.58°, γ = 120.09°
Closest atoms and distances in Å follow each position.
Element x y z (fractional)
Se: 0.4110 0.0820 0.2469  1 Tb 2.92, 3 Pm 2.95-2.99, 2 Ce 2.96
Tb: 0.0000 0.0000 0.0000  6 Se 2.92
Pm: 0.8329 0.1671 0.5000  6 Se 2.95-2.99
Se: 0.7541 0.7541 0.2480  1 Tb 2.92, 3 Pm 2.95-2.99, 2 Ce 2.96
Se: 0.0820 0.4110 0.2469  1 Tb 2.92, 3 Pm 2.95-2.99, 2 Ce 2.96
Ce: 0.6662 0.3338 0.0000  6 Se 2.96
Ce: 0.3338 0.6662 0.0000  6 Se 2.96
Se: 0.9180 0.5890 0.7531  1 Tb 2.92, 3 Pm 2.95-2.99, 2 Ce 2.96
Se: 0.2459 0.2459 0.7520  1 Tb 2.92, 3 Pm 2.95-2.99, 2 Ce 2.96
Se: 0.5890 0.9180 0.7531  1 Tb 2.92, 3 Pm 2.95-2.99, 2 Ce 2.96
Pm: 0.5000 0.5000 0.5000  6 Se 2.96-2.99
Pm: 0.1671 0.8329 0.5000  6 Se 2.95-2.99



Record 11
Density functional theory data (PBE-GGA) for a relaxed structure of TbCePm4Se8.

a = 8.6579 Å, b = 8.6579 Å, c = 8.6229 Å
α = 59.87°, β = 59.87°, γ = 60.00°
Closest atoms and distances in Å follow each position.
Element x y z (fractional)
Se: 0.2366 0.2366 0.7461  1 Ce 2.86, 1 Tb 2.89, 2 Pm 2.96
Se: 0.2411 0.2411 0.2768  1 Ce 2.85, 3 Pm 2.95
Se: 0.2366 0.7806 0.7461  1 Ce 2.86, 1 Tb 2.89, 2 Pm 2.96
Se: 0.7617 0.7617 0.2516  3 Pm 2.82-2.98, 1 Tb 2.92
Se: 0.2250 0.7617 0.2516  3 Pm 2.82-2.98, 1 Tb 2.92
Se: 0.7617 0.2250 0.2516  3 Pm 2.82-2.98, 1 Tb 2.92
Pm: 0.9999 0.9999 0.5001  6 Se 2.95-2.98
Tb: 0.0002 0.0002 0.9995  6 Se 2.89-2.92
Pm: 0.6239 0.6239 0.1284  4 Se 2.80-2.82
Se: 0.7567 0.7567 0.7299  4 Pm 2.80-2.97
Pm: 0.9999 0.5001 0.5001  6 Se 2.95-2.98
Ce: 0.3760 0.3760 0.8719  4 Se 2.85-2.86
Se: 0.7806 0.2366 0.7461  1 Ce 2.86, 1 Tb 2.89, 2 Pm 2.96
Pm: 0.5001 0.9999 0.5001  6 Se 2.95-2.98



Record 12
Density functional theory data (PBE-GGA) for a relaxed structure of Tb3Ce2PmSe6.

a = 7.1518 Å, b = 7.1518 Å, c = 7.2432 Å
α = 99.47°, β = 99.47°, γ = 120.08°
Closest atoms and distances in Å follow each position.
Element x y z (fractional)
Ce: 0.3335 0.6665 0.0000  6 Se 2.96-2.97
Pm: 0.0000 0.0000 0.0000  6 Se 2.97-2.98
Se: 0.5793 0.9133 0.7399  3 Tb 2.89-2.91, 2 Ce 2.97, 1 Pm 2.98
Se: 0.0867 0.4207 0.2601  3 Tb 2.89-2.91, 2 Ce 2.97, 1 Pm 2.98
Ce: 0.6665 0.3335 0.0000  6 Se 2.96-2.97
Se: 0.7521 0.7521 0.2583  3 Tb 2.88-2.90, 2 Ce 2.96, 1 Pm 2.97
Se: 0.4207 0.0867 0.2601  3 Tb 2.89-2.91, 2 Ce 2.97, 1 Pm 2.98
Se: 0.9133 0.5793 0.7399  3 Tb 2.89-2.91, 2 Ce 2.97, 1 Pm 2.98
Se: 0.2479 0.2479 0.7417  3 Tb 2.88-2.90, 2 Ce 2.96, 1 Pm 2.97
Tb: 0.1644 0.8356 0.5000  6 Se 2.88-2.91
Tb: 0.8356 0.1644 0.5000  6 Se 2.88-2.91
Tb: 0.5000 0.5000 0.5000  6 Se 2.90



Sequential formation energy without anion corrections output: -1.833; -1.828; -1.831; -1.841; -1.896; -1.808; -1.827; -1.817; -1.235; -1.826; -1.716; -1.810 eV per atom
Sequential magnetic moment output: 2.9; 0.8; 2.0; 2.4; 1.5; 1.0; 2.8; 3.0; 1.3; 1.8; 1.7; 1.9 μB per formula unit
Sequential calculated total energy output: -6.244; -6.013; -6.240; -5.871; -5.394; -6.043; -6.159; -6.210; -5.401; -6.131; -5.819; -6.095 eV/atom